(1)
AcTlNi | PBE | optimized geometry

Values from the calculation:
Spin magnetization: 0.00 μB per cell
Total energy: -3.5500 eV per atom
E above lowest polymorph: 0.643 eV/atom
Space-group type: No. 216

Cell lengths 5.163, 5.163, 5.163 Å; angles 60.00, 60.00, 60.00 degrees
Element x y z (fractional)
Ni: 0.250 0.250 0.250
Tl: 0.750 0.750 0.750
Ac: 0.000 0.000 0.000


(2)
Lu2MoOs | PBE | optimized geometry

Values from the calculation:
Spin magnetization: 0.02 μB per cell
Total energy: -7.1773 eV per atom
Formation energy: 58.18 kJ/mol of atoms
Space-group type: No. 216

Cell lengths 4.435, 4.435, 4.435 Å; angles 60.00, 60.00, 60.00 degrees
Element x y z (fractional)
Mo: 0.500 0.500 0.500
Os: 0.750 0.750 0.750
Lu: 0.000 0.000 0.000
Lu: 0.250 0.250 0.250


(3)
FeSiTc2 | PBE | optimized geometry

Values from the calculation:
Spin magnetization: 3.91 μB per cell
Total energy: -8.5758 eV per atom
Space-group type: No. 194

Cell lengths 4.070, 4.070, 8.012 Å; angles 90.00, 90.00, 120.00 degrees
Element x y z (fractional)
Si: 0.000 0.000 0.000
Si: 0.000 0.000 0.500
Fe: 0.333 0.667 0.250
Fe: 0.667 0.333 0.750
Tc: 0.333 0.667 0.904
Tc: 0.333 0.667 0.596
Tc: 0.667 0.333 0.404
Tc: 0.667 0.333 0.096


(4)
Ag15P4S16Cl3 | PBE | optimized geometry

Values from the calculation:
Total energy: -3.8001 eV per atom
Space-group type: No. 220

Cell lengths 13.001, 13.001, 13.001 Å; angles 109.47, 109.47, 109.47 degrees
Element x y z (fractional)
Cl: 0.375 0.750 0.125
Cl: 0.875 0.125 0.750
Cl: 0.750 0.625 0.875
Cl: 0.625 0.375 0.250
Cl: 0.125 0.250 0.375
Cl: 0.250 0.875 0.625
S: 0.240 0.366 0.919
S: 0.500 0.942 0.500
S: 0.000 0.500 0.442
S: 0.053 0.375 0.134
S: 0.178 0.625 0.760
S: 0.366 0.419 0.740
S: 0.822 0.447 0.081
S: 0.581 0.822 0.947
S: 0.260 0.178 0.125
S: 0.558 0.558 0.058
S: 0.919 0.866 0.240
S: 0.500 0.442 0.500
S: 0.442 0.000 0.000
S: 0.375 0.634 0.553
S: 0.322 0.081 0.447
S: 0.875 0.553 0.634
S: 0.419 0.240 0.866
S: 0.760 0.125 0.178
S: 0.447 0.581 0.322
S: 0.000 0.500 0.942
S: 0.125 0.678 0.260
S: 0.634 0.053 0.875
S: 0.947 0.322 0.581
S: 0.942 0.000 0.000
S: 0.134 0.875 0.053
S: 0.058 0.058 0.558
S: 0.740 0.919 0.366
S: 0.553 0.134 0.375
S: 0.866 0.740 0.419
S: 0.678 0.760 0.625
S: 0.081 0.947 0.822
S: 0.625 0.260 0.678
P: 0.900 0.900 0.400
P: 0.500 0.600 0.500
P: 0.000 0.500 0.600
P: 0.600 0.000 0.000
P: 0.500 0.100 0.500
P: 0.000 0.500 0.100
P: 0.400 0.400 0.900
P: 0.100 0.000 0.000
Ag: 0.127 0.283 0.589
Ag: 0.250 0.375 0.125
Ag: 0.962 0.655 0.873
Ag: 0.873 0.155 0.962
Ag: 0.089 0.127 0.783
Ag: 0.750 0.125 0.375
Ag: 0.462 0.873 0.655
Ag: 0.806 0.345 0.217
Ag: 0.194 0.538 0.911
Ag: 0.538 0.411 0.694
Ag: 0.125 0.875 0.250
Ag: 0.373 0.962 0.155
Ag: 0.783 0.627 0.089
Ag: 0.038 0.694 0.411
Ag: 0.283 0.089 0.627
Ag: 0.845 0.306 0.717
Ag: 0.217 0.845 0.806
Ag: 0.625 0.250 0.875
Ag: 0.306 0.217 0.345
Ag: 0.155 0.462 0.373
Ag: 0.875 0.750 0.625
Ag: 0.375 0.625 0.750
Ag: 0.717 0.806 0.845
Ag: 0.627 0.589 0.283
Ag: 0.655 0.373 0.462
Ag: 0.345 0.717 0.306
Ag: 0.589 0.783 0.127
Ag: 0.411 0.194 0.038
Ag: 0.911 0.038 0.194
Ag: 0.694 0.911 0.538